No. 1
This record from Alexandria describes a relaxed TbSm5Ga6 crystal. The functional is PBE-GGA.

a = 5.143 Å, b = 7.277 Å, c = 8.135 Å
α = 90.00°, β = 71.60°, γ = 90.00°
Fractional coordinates of all 12 atoms:
1 Tb 0.000 0.000 0.000
2 Sm 0.668 0.500 0.664
3 Sm 0.334 0.000 0.333
4 Sm 0.000 0.500 0.000
5 Sm 0.666 0.000 0.667
6 Sm 0.332 0.500 0.336
7 Ga 0.835 0.752 0.330
8 Ga 0.835 0.248 0.330
9 Ga 0.500 0.248 0.000
10 Ga 0.500 0.752 0.000
11 Ga 0.165 0.752 0.670
12 Ga 0.165 0.248 0.670

The formation energy comes out at -0.5736 eV/atom. The calculated total energy is -4.4392 eV/atom. Its space group is Cmmm.



No. 2
This record from Alexandria describes a relaxed PuCd2In crystal. The functional is PBE-GGA.

a = 3.263 Å, b = 3.263 Å, c = 9.341 Å
α = 90.00°, β = 90.00°, γ = 90.00°
Fractional coordinates of all 4 atoms:
1 Cd 0.000 0.000 0.758
2 Cd 0.000 0.000 0.242
3 In 0.500 0.500 0.000
4 Pu 0.500 0.500 0.500

The formation energy comes out at -0.0277 eV/atom. The calculated total energy is -4.7529 eV/atom. Its space group is P4/mmm.



No. 3
This record from Alexandria describes a relaxed Na2In2Te3 crystal. The functional is PBE-GGA.

a = 7.921 Å, b = 8.309 Å, c = 9.153 Å
α = 90.00°, β = 62.82°, γ = 90.00°
Fractional coordinates of all 14 atoms:
1 Na 0.879 0.662 0.938
2 Na 0.379 0.838 0.938
3 Na 0.621 0.162 0.062
4 Na 0.121 0.338 0.062
5 In 0.584 0.406 0.659
6 In 0.916 0.906 0.341
7 In 0.084 0.094 0.659
8 In 0.416 0.594 0.341
9 Te 0.500 0.500 0.000
10 Te 0.000 0.000 0.000
11 Te 0.691 0.059 0.669
12 Te 0.809 0.559 0.331
13 Te 0.191 0.441 0.669
14 Te 0.309 0.941 0.331

The calculation puts the formation energy from raw total energies at -0.50 eV/atom. The calculated total energy is -3.0043 eV/atom. Its space group is P2_1/c.



No. 4
This record from Alexandria describes a relaxed Tb6SiSb2Te3 crystal. The functional is PBE-GGA.

a = 4.334 Å, b = 8.760 Å, c = 9.775 Å
α = 103.20°, β = 102.81°, γ = 90.00°
Fractional coordinates of all 12 atoms:
1 Tb 0.346 0.919 0.693
2 Tb 0.667 0.577 0.335
3 Tb 0.654 0.081 0.307
4 Tb 0.001 0.223 0.001
5 Tb 0.999 0.777 0.999
6 Tb 0.333 0.423 0.665
7 Si 0.500 0.000 0.000
8 Sb 0.833 0.667 0.667
9 Sb 0.167 0.333 0.333
10 Te 0.500 0.500 0.000
11 Te 0.830 0.165 0.659
12 Te 0.170 0.835 0.341

The calculation puts the formation energy from raw total energies at -1.24 eV/atom. The calculated total energy is -5.4772 eV/atom. Its space group is C2/m.



No. 5
This record from Alexandria describes a relaxed Ce5Hg2Ru2 crystal. The functional is PBE-GGA.

a = 7.790 Å, b = 7.530 Å, c = 8.827 Å
α = 115.25°, β = 90.00°, γ = 90.00°
Fractional coordinates of all 18 atoms:
1 Ce 0.000 0.000 0.000
2 Ce 0.500 0.500 0.000
3 Ce 0.827 0.790 0.234
4 Ce 0.173 0.444 0.234
5 Ce 0.327 0.944 0.234
6 Ce 0.673 0.290 0.234
7 Ce 0.173 0.210 0.766
8 Ce 0.827 0.556 0.766
9 Ce 0.673 0.056 0.766
10 Ce 0.327 0.710 0.766
11 Hg 0.000 0.219 0.439
12 Hg 0.500 0.719 0.439
13 Hg 0.000 0.781 0.561
14 Hg 0.500 0.281 0.561
15 Ru 0.636 0.859 0.000
16 Ru 0.364 0.141 0.000
17 Ru 0.136 0.641 0.000
18 Ru 0.864 0.359 0.000

The formation energy comes out at -0.3050 eV/atom. The calculated total energy is -5.7300 eV/atom. Its space group is Cmce.



No. 6
This record from Alexandria describes a relaxed CsRb2CuF4 crystal. The functional is PBE-GGA.

a = 3.950 Å, b = 6.824 Å, c = 13.913 Å
α = 90.00°, β = 90.00°, γ = 106.82°
Fractional coordinates of all 16 atoms:
1 Cs 0.102 0.203 0.750
2 Cs 0.898 0.797 0.250
3 Rb 0.366 0.732 0.548
4 Rb 0.634 0.268 0.048
5 Rb 0.634 0.268 0.452
6 Rb 0.366 0.732 0.952
7 Cu 0.830 0.661 0.750
8 Cu 0.170 0.339 0.250
9 F 0.269 0.538 0.132
10 F 0.731 0.462 0.632
11 F 0.731 0.462 0.868
12 F 0.269 0.538 0.368
13 F 0.000 0.000 0.500
14 F 0.000 0.000 0.000
15 F 0.396 0.793 0.750
16 F 0.604 0.207 0.250

The calculation puts the formation energy from raw total energies at -2.21 eV/atom. The calculated total energy is -4.0020 eV/atom. Its space group is Cmcm.



No. 7
This record from Alexandria describes a relaxed PmNd2ZnS5 crystal. The functional is PBE-GGA.

a = 3.905 Å, b = 8.700 Å, c = 12.135 Å
α = 90.00°, β = 90.00°, γ = 102.97°
Fractional coordinates of all 18 atoms:
1 Pm 0.814 0.627 0.527
2 Pm 0.186 0.373 0.027
3 Nd 0.874 0.749 0.840
4 Nd 0.117 0.234 0.688
5 Nd 0.126 0.251 0.340
6 Nd 0.883 0.766 0.188
7 Zn 0.545 0.089 0.927
8 Zn 0.455 0.911 0.427
9 S 0.349 0.699 0.015
10 S 0.680 0.361 0.857
11 S 0.491 0.982 0.755
12 S 0.298 0.596 0.692
13 S 0.981 0.962 0.523
14 S 0.651 0.301 0.515
15 S 0.320 0.639 0.357
16 S 0.509 0.018 0.255
17 S 0.702 0.404 0.192
18 S 0.019 0.038 0.023

The calculation puts the formation energy from raw total energies at -1.73 eV/atom. The calculated total energy is -5.7511 eV/atom. Its space group is Cmc2_1.



No. 8
This record from Alexandria describes a relaxed Pa2AlZn4 crystal. The functional is PBE-GGA.

a = 4.541 Å, b = 4.541 Å, c = 8.148 Å
α = 106.18°, β = 106.18°, γ = 90.00°
Fractional coordinates of all 7 atoms:
1 Pa 0.638 0.638 0.275
2 Pa 0.362 0.362 0.725
3 Al 0.000 0.000 0.000
4 Zn 0.000 0.500 0.000
5 Zn 0.500 0.000 0.000
6 Zn 0.830 0.830 0.660
7 Zn 0.170 0.170 0.340

The formation energy comes out at 0.4641 eV/atom. The calculated total energy is -3.5116 eV/atom. Its space group is I4/mmm.



No. 9
This record from Alexandria describes a relaxed MgIn2Ag crystal. The functional is PBE-GGA.

a = 8.384 Å, b = 8.384 Å, c = 6.589 Å
α = 50.49°, β = 50.49°, γ = 90.00°
Fractional coordinates of all 8 atoms:
1 Mg 0.500 0.500 0.000
2 Mg 0.250 0.750 0.500
3 Ag 0.000 0.000 0.000
4 Ag 0.750 0.250 0.500
5 In 0.667 0.125 0.250
6 In 0.083 0.625 0.250
7 In 0.375 0.333 0.750
8 In 0.875 0.917 0.750

The formation energy comes out at 0.0865 eV/atom. The calculated total energy is -2.3941 eV/atom. Its space group is I-42d.



No. 10
This record from Alexandria describes a relaxed K3PrGa2O6 crystal. The functional is PBE-GGA.

a = 6.251 Å, b = 6.251 Å, c = 7.259 Å
α = 90.00°, β = 90.00°, γ = 120.00°
Fractional coordinates of all 12 atoms:
1 K 0.333 0.667 0.751
2 K 0.667 0.333 0.249
3 K 0.000 0.000 0.000
4 Pr 0.000 0.000 0.500
5 Ga 0.667 0.333 0.715
6 Ga 0.333 0.667 0.285
7 O 0.663 0.831 0.286
8 O 0.169 0.337 0.286
9 O 0.169 0.831 0.286
10 O 0.831 0.663 0.714
11 O 0.337 0.169 0.714
12 O 0.831 0.169 0.714

The calculation puts the formation energy from raw total energies at -1.95 eV/atom. The calculated total energy is -5.6046 eV/atom. Its space group is P-3m1.



No. 11
This record from Alexandria describes a relaxed LiAcO crystal. The functional is PBE-GGA.

a = 3.546 Å, b = 3.546 Å, c = 6.325 Å
α = 106.28°, β = 106.28°, γ = 90.00°
Fractional coordinates of all 3 atoms:
1 Ac 0.196 0.196 0.392
2 O 0.744 0.744 0.489
3 Li 0.910 0.910 0.820

The calculation puts the formation energy from raw total energies at -1.61 eV/atom. The calculated total energy is -5.2728 eV/atom. Its space group is I4mm.



No. 12
This record from Alexandria describes a relaxed SrGaTeI2 crystal. The functional is PBE-GGA.

a = 6.360 Å, b = 6.360 Å, c = 6.425 Å
α = 90.00°, β = 90.00°, γ = 90.00°
Fractional coordinates of all 5 atoms:
1 I 0.000 0.500 0.000
2 I 0.500 0.000 0.000
3 Sr 0.000 0.000 0.000
4 Te 0.000 0.000 0.500
5 Ga 0.500 0.500 0.500

The calculation puts the formation energy from raw total energies at -0.52 eV/atom. The calculated total energy is -2.7107 eV/atom. Its space group is P4/mmm.